Density functional theory data (PBE-GGA) for a relaxed structure of GaCoMo2N.

Structure (POSCAR):
```
GaCoMo2N
1.0
4.114 0.000 0.000
0.000 3.773 0.000
0.000 0.000 4.114
Mo Ga N Co
2 1 1 1
direct
0.500 0.000 0.000 Mo
0.000 0.000 0.500 Mo
0.500 0.500 0.500 Ga
0.000 0.000 0.000 N
0.000 0.500 0.000 Co
```

Results
Uncorrected formation energy = -162 meV per atom
Symmetry = P4/mmm, No. 123
Magnetic moment = 0.000 Bohr magnetons per cell
Crystal system = tetragonal
Total energy = -8.186 eV/atom